1.
Computed, not measured: an optimized crystal structure of VHgTe2 at the GGA-PBE level of DFT.

As for the density of states at the Fermi level: 1.2 states/eV/cell. The formation energy (no corrections) is -0.230 eV/atom. The calculation puts the final energy at -4.1557 eV/atom.

It has space group P1 (No. 1), with a = 3.589 Å, b = 3.589 Å, c = 10.351 Å, α = 99.90°, β = 90.00° and γ = 120.00°. The inequivalent atoms are V at (0.000, 0.000, 0.000), Hg at (0.504, 0.989, 0.500), Te at (0.277, 0.554, 0.829) and Te at (0.723, 0.447, 0.171).



2.
Computed, not measured: an optimized crystal structure of ThMgSnN at the GGA-PBE level of DFT.

As for the density of states at the Fermi level: 2.9 states/eV/cell. The formation energy (no corrections) is -0.917 eV/atom. The calculation puts the final energy at -6.2530 eV/atom.

It has space group P4/nmm (No. 129, origin choice 2), with a = 4.186 Å, b = 4.186 Å, c = 10.663 Å, α = 90.00°, β = 90.00° and γ = 90.00°. The inequivalent atoms are Th at (0.250, 0.250, 0.104), Mg at (0.250, 0.750, 0.500), Sn at (0.250, 0.250, 0.698) and N at (0.250, 0.750, 0.000).



3.
Computed, not measured: an optimized crystal structure of MnPd3Pb at the GGA-PBE level of DFT.

The value obtained for the energy above the most stable polymorph in this dataset is 0.0 meV/atom. The formation energy is -79 kJ/mol of formula units. As for the density of states at the Fermi level: 8.6 states/eV/cell. The calculation puts the final energy at -5.8560 eV/atom.

It has space group C2/m (No. 12), with a = 14.282 Å, b = 4.202 Å, c = 5.728 Å, α = 90.00°, β = 92.27° and γ = 90.00°. The inequivalent atoms are Mn at (0.202, 0.000, 0.358), Pd at (0.011, 0.000, 0.260), Pd at (0.107, 0.500, 0.544), Pd at (0.202, 0.000, 0.824) and Pb at (0.108, 0.500, 0.040).



4.
Computed, not measured: an optimized crystal structure of CsAlPb at the GGA-PBE level of DFT.

The formation energy is -9 kJ/mol of formula units. As for the density of states at the Fermi level: 0.3 states/eV/cell. The calculation puts the final energy at -2.7999 eV/atom.

It has space group C2/m (No. 12), with a = 15.884 Å, b = 4.626 Å, c = 7.267 Å, α = 90.00°, β = 104.83° and γ = 90.00°. The inequivalent atoms are Cs at (0.100, 0.000, 0.309), Al at (0.225, 0.000, 0.899) and Pb at (0.119, 0.500, 0.791).



5.
Computed, not measured: an optimized crystal structure of RbTaTcO6 at the GGA-PBE level of DFT.

As for the density of states at the Fermi level: 4.0 states/eV/cell. The formation energy (no corrections) is -1.987 eV/atom. The calculation puts the final energy at -7.8691 eV/atom.

It has space group P3 (No. 143), with a = 5.3529 Å, b = 5.3529 Å, c = 6.2875 Å, α = 90.00°, β = 90.00° and γ = 120.00°. The inequivalent atoms are Rb at (0.0000, 0.0000, 0.0000), Ta at (0.3333, 0.6667, 0.4723), Tc at (0.6667, 0.3333, 0.5248), O at (0.4087, 0.3956, 0.3247) and O at (0.4182, 0.0033, 0.6830).



6.
Computed, not measured: an optimized crystal structure of ReMo2RuSe at the GGA-PBE level of DFT.

As for the density of states at the Fermi level: 6.4 states/eV/cell. The formation energy (no corrections) is 1.899 eV/atom. The calculation puts the final energy at -7.4754 eV/atom.

It has space group P4/mmm (No. 123), with a = 4.765 Å, b = 4.765 Å, c = 4.626 Å, α = 90.00°, β = 90.00° and γ = 90.00°. The inequivalent atoms are Re at (0.000, 0.000, 0.000), Mo at (0.000, 0.500, 0.000), Ru at (0.500, 0.500, 0.500) and Se at (0.000, 0.000, 0.500).



7.
Computed, not measured: an optimized crystal structure of GdTmGaAu at the GGA-PBE level of DFT.

The formation energy is -268 kJ/mol of formula units. As for the density of states at the Fermi level: 11.1 states/eV/cell. The calculation puts the final energy at -6.9096 eV/atom.

It has space group F-43m (No. 216), with a = 7.203 Å, b = 7.203 Å, c = 7.203 Å, α = 90.00°, β = 90.00° and γ = 90.00°. The inequivalent atoms are Gd at (0.000, 0.000, 0.000), Tm at (0.000, 0.000, 0.500), Ga at (0.250, 0.250, 0.250) and Au at (0.250, 0.250, 0.750).



8.
Computed, not measured: an optimized crystal structure of Y5Ag at the GGA-PBE level of DFT.

The value obtained for the energy above the most stable polymorph in this dataset is 0.0 meV/atom. The formation energy is -47 kJ/mol of formula units. As for the density of states at the Fermi level: 8.4 states/eV/cell. The calculation puts the final energy at -5.9429 eV/atom.

It has space group P4/mmm (No. 123), with a = 3.570 Å, b = 3.570 Å, c = 14.039 Å, α = 90.00°, β = 90.00° and γ = 90.00°. The inequivalent atoms are Y at (0.000, 0.000, 0.000), Y at (0.000, 0.000, 0.364), Y at (0.500, 0.500, 0.180) and Ag at (0.500, 0.500, 0.500).



9.
Computed, not measured: an optimized crystal structure of NiMo2Ru at the GGA-PBE level of DFT.

The formation energy is 15 kJ/mol of formula units. As for the density of states at the Fermi level: 3.0 states/eV/cell. The calculation puts the final energy at -9.1419 eV/atom.

It has space group P4/mmm (No. 123), with a = 2.718 Å, b = 2.718 Å, c = 7.675 Å, α = 90.00°, β = 90.00° and γ = 90.00°. The inequivalent atoms are Ni at (0.000, 0.000, 0.000), Mo at (0.500, 0.500, 0.244) and Ru at (0.000, 0.000, 0.500).



10.
Computed, not measured: an optimized crystal structure of Mg2CdPd at the GGA-PBE level of DFT.

The formation energy is -133 kJ/mol of formula units. As for the density of states at the Fermi level: 6.1 states/eV/cell. The calculation puts the final energy at -2.6689 eV/atom.

It has space group R3m (No. 160, hexagonal axes), with a = 4.7014 Å, b = 4.7014 Å, c = 11.5671 Å, α = 90.00°, β = 90.00° and γ = 120.00°. The inequivalent atoms are Mg at (0.0000, 0.0000, 0.0000), Mg at (0.0000, 0.0000, 0.2502), Cd at (0.0000, 0.0000, 0.4999) and Pd at (0.0000, 0.0000, 0.7492).



11.
Computed, not measured: an optimized crystal structure of LiZn2BiSe4 at the GGA-PBE level of DFT.

The formation energy (no corrections) is -0.639 eV/atom. The calculation puts the final energy at -3.4244 eV/atom.

It has space group I-42m (No. 121), with a = 5.905 Å, b = 5.905 Å, c = 12.339 Å, α = 90.00°, β = 90.00° and γ = 90.00°. The inequivalent atoms are Li at (0.000, 0.000, 0.000), Zn at (0.000, 0.500, 0.250), Bi at (0.000, 0.000, 0.500) and Se at (0.227, 0.227, 0.138).



12.
Computed, not measured: an optimized crystal structure of Ti3MoRu2 at the GGA-PBE level of DFT.

The formation energy is -311 kJ/mol of formula units. As for the density of states at the Fermi level: 3.6 states/eV/cell. The calculation puts the final energy at -9.3824 eV/atom.

It has space group P4/mmm (No. 123), with a = 3.096 Å, b = 3.096 Å, c = 9.414 Å, α = 90.00°, β = 90.00° and γ = 90.00°. The inequivalent atoms are Ti at (0.000, 0.000, 0.000), Ti at (0.000, 0.000, 0.328), Mo at (0.500, 0.500, 0.500) and Ru at (0.500, 0.500, 0.163).



13.
Computed, not measured: an optimized crystal structure of DyGa4Pd7 at the GGA-PBE level of DFT.

The formation energy is -594 kJ/mol of formula units. As for the density of states at the Fermi level: 8.1 states/eV/cell. The calculation puts the final energy at -4.9344 eV/atom.

It has space group C2/m (No. 12), with a = 11.473 Å, b = 4.847 Å, c = 9.155 Å, α = 90.00°, β = 125.41° and γ = 90.00°. The inequivalent atoms are Dy at (0.000, 0.000, 0.000), Ga at (0.081, 0.500, 0.782), Ga at (0.211, 0.500, 0.334), Pd at (0.000, 0.500, 0.000), Pd at (0.067, 0.000, 0.354), Pd at (0.154, 0.500, 0.573) and Pd at (0.220, 0.000, 0.882).



14.
Computed, not measured: an optimized crystal structure of MgAl2Mo at the GGA-PBE level of DFT.

The formation energy is -18 kJ/mol of formula units. As for the density of states at the Fermi level: 2.2 states/eV/cell. The calculation puts the final energy at -5.0252 eV/atom.

It has space group Pmm2 (No. 25), with a = 2.777 Å, b = 4.727 Å, c = 4.974 Å, α = 90.00°, β = 90.00° and γ = 90.00°. The inequivalent atoms are Mg at (0.000, 0.000, 0.000), Al at (0.500, 0.000, 0.504), Al at (0.500, 0.500, 0.179) and Mo at (0.000, 0.500, 0.676).



15.
Computed, not measured: an optimized crystal structure of KY2Ir at the GGA-PBE level of DFT.

The value obtained for the energy above the most stable polymorph in this dataset is 197.7 meV/atom. The formation energy is -57 kJ/mol of formula units. As for the density of states at the Fermi level: 3.1 states/eV/cell. The calculation puts the final energy at -5.8690 eV/atom.

It has space group Pm (No. 6), with a = 4.068 Å, b = 3.876 Å, c = 9.245 Å, α = 90.00°, β = 102.70° and γ = 90.00°. The inequivalent atoms are K at (0.000, 0.000, 0.000), Y at (0.313, 0.500, 0.629), Y at (0.684, 0.000, 0.372) and Ir at (0.168, 0.500, 0.339).



16.
Computed, not measured: an optimized crystal structure of CsAlSe3 at the GGA-PBE level of DFT.

The value obtained for the energy above the most stable polymorph in this dataset is 1969.9 meV/atom. As for the density of states at the Fermi level: 11.7 states/eV/cell. The formation energy (no corrections) is 1.029 eV/atom. The calculation puts the final energy at -1.9808 eV/atom.

It has space group Pm-3m (No. 221), with a = 5.940 Å, b = 5.940 Å, c = 5.940 Å, α = 90.00°, β = 90.00° and γ = 90.00°. The inequivalent atoms are Cs at (0.000, 0.000, 0.000), Al at (0.500, 0.500, 0.500) and Se at (0.000, 0.000, 0.500).



17.
Computed, not measured: an optimized crystal structure of Ac2HfMgS6 at the GGA-PBE level of DFT.

As for the density of states at the Fermi level: 0.0 states/eV/cell. The formation energy (no corrections) is -1.894 eV/atom. The calculation puts the final energy at -6.3470 eV/atom.

It has space group P2_1/c (No. 14), with a = 6.727 Å, b = 7.292 Å, c = 11.792 Å, α = 90.00°, β = 124.43° and γ = 90.00°. The inequivalent atoms are Ac at (0.221, 0.088, 0.249), Hf at (0.500, 0.000, 0.000), Mg at (0.000, 0.000, 0.500), S at (0.141, 0.188, 0.950), S at (0.265, 0.698, 0.949) and S at (0.351, 0.021, 0.750).



18.
Computed, not measured: an optimized crystal structure of CrNi2Rh at the GGA-PBE level of DFT.

The formation energy is 24 kJ/mol of formula units. As for the density of states at the Fermi level: 19.0 states/eV/cell. The calculation puts the final energy at -7.0735 eV/atom.

It has space group R3m (No. 160, hexagonal axes), with a = 2.5995 Å, b = 2.5995 Å, c = 24.8010 Å, α = 90.00°, β = 90.00° and γ = 120.00°. The inequivalent atoms are Cr at (0.0000, 0.0000, 0.0000), Ni at (0.0000, 0.0000, 0.2525), Ni at (0.0000, 0.0000, 0.5045) and Rh at (0.0000, 0.0000, 0.7491).



19.
Computed, not measured: an optimized crystal structure of CaEu2Tm at the GGA-PBE level of DFT.

The value obtained for the energy above the most stable polymorph in this dataset is 50.6 meV/atom. The formation energy is 48 kJ/mol of formula units. As for the density of states at the Fermi level: 14.5 states/eV/cell. The calculation puts the final energy at -6.6303 eV/atom.

It has space group Fm-3m (No. 225), with a = 8.452 Å, b = 8.452 Å, c = 8.452 Å, α = 90.00°, β = 90.00° and γ = 90.00°. The inequivalent atoms are Ca at (0.000, 0.000, 0.000), Eu at (0.250, 0.250, 0.250) and Tm at (0.000, 0.000, 0.500).



20.
Computed, not measured: an optimized crystal structure of Er2CdOsO8 at the GGA-PBE level of DFT.

The formation energy (no corrections) is -2.014 eV/atom. The calculation puts the final energy at -7.0917 eV/atom.

It has space group Cmmm (No. 65), with a = 6.805 Å, b = 7.056 Å, c = 6.997 Å, α = 90.00°, β = 90.00° and γ = 90.00°. The inequivalent atoms are Er at (0.000, 0.000, 0.244), Cd at (0.000, 0.500, 0.000), Os at (0.000, 0.500, 0.500), O at (0.000, 0.315, 0.309), O at (0.195, 0.000, 0.000) and O at (0.222, 0.000, 0.500).